First-principles (PBE) data for a relaxed structure of Tm6AlZn5, as listed in Alexandria.

Computed properties:
E	-82.551	eV/cell
spin magnetization	0.000	μB per cell
theoretical density	8620	kg/m3
formation enthalpy at 0 K	-361	meV/atom
N(E_F)	9.4	states/eV/f.u.

CIF file:
```
data_Tm6AlZn5
_chemical_formula_sum 'Tm12 Al2 Zn10'
_cell_length_a 4.973
_cell_length_b 14.967
_cell_length_c 7.079
_cell_angle_alpha 90.00
_cell_angle_beta 90.00
_cell_angle_gamma 90.00
_symmetry_space_group_name_H-M 'C m m m'
_symmetry_Int_Tables_number 65
_symmetry_space_group_name_Hall '-C 2 2'
loop_
_atom_site_label
_atom_site_type_symbol
_atom_site_fract_x
_atom_site_fract_y
_atom_site_fract_z
Tm1 Tm 0.000 0.000 0.246
Tm2 Tm 0.000 0.332 0.249
Al1 Al 0.000 0.500 0.500
Zn1 Zn 0.000 0.164 0.500
Zn2 Zn 0.000 0.165 0.000
Zn3 Zn 0.000 0.500 0.000
```